# 1
The following is a DFT calculation (GGA-PBE) of Cs2TlCuO2 after structural relaxation.

a = 4.427 Å, b = 6.243 Å, c = 11.725 Å
α = 90.00°, β = 90.00°, γ = 90.00°
Fractional positions:
Cs  0.500  0.082  0.233
Cs  0.000  0.582  0.267
Cs  0.500  0.918  0.767
Cs  0.000  0.418  0.733
Tl  0.500  0.500  0.000
Tl  0.000  0.000  0.500
Cu  0.000  0.000  0.000
Cu  0.500  0.500  0.500
O  0.500  0.730  0.406
O  0.500  0.270  0.594
O  0.000  0.770  0.906
O  0.000  0.230  0.094

Properties
uncorrected formation energy = -0.749 eV/atom
crystal system = orthorhombic

# 2
The following is a DFT calculation (GGA-PBE) of In2HgW after structural relaxation.

a = 2.966 Å, b = 2.966 Å, c = 9.826 Å
α = 90.00°, β = 90.00°, γ = 92.34°
Fractional positions:
Hg  0.500  0.500  0.723
In  0.000  0.000  0.993
In  0.500  0.500  0.281
W  0.000  0.000  0.504

Properties
crystal system = orthorhombic
E_form = 572 meV per atom

# 3
The following is a DFT calculation (GGA-PBE) of Tc2RuPt after structural relaxation.

a = 4.754 Å, b = 4.754 Å, c = 4.788 Å
α = 80.62°, β = 80.62°, γ = 33.28°
Fractional positions:
Pt  0.499  0.499  0.504
Ru  0.255  0.255  0.231
Tc  0.999  0.999  0.006
Tc  0.747  0.747  0.759

Properties
energy above the most stable polymorph in this dataset = 110 meV/atom
crystal system = monoclinic
E_form = -43 meV per atom

# 4
The following is a DFT calculation (GGA-PBE) of MoIrPt2 after structural relaxation.

a = 4.824 Å, b = 4.824 Å, c = 4.824 Å
α = 131.86°, β = 131.87°, γ = 70.44°
Fractional positions:
Mo  0.250  0.750  0.500
Ir  0.500  0.500  0.000
Pt  0.000  0.000  0.000
Pt  0.750  0.250  0.500

Properties
energy above the most stable polymorph in this dataset = 12 meV/atom
crystal system = tetragonal
E_form = -239 meV per atom

Density of states at the Fermi level (computed, states/eV/cell): 0.1 1.9 4.4 4.2